First-principles (PBE) data for crystalline Fe2Co3Ni7 at its relaxed geometry, as listed in Alexandria via LeMat-Bulk.

Lattice parameters (Å, degrees): 4.099 2.457 13.579 90.00 93.10 90.00
Space group P2/m (No. 10)
Unique sites:
Fe1 0.213 0.000 0.294 (multiplicity 2)
Co1 0.000 0.000 0.000 (multiplicity 1)
Co2 0.274 0.500 0.630 (multiplicity 2)
Ni1 0.187 0.500 0.143 (multiplicity 2)
Ni2 0.243 0.000 0.462 (multiplicity 2)
Ni3 0.306 0.000 0.816 (multiplicity 2)
Ni4 0.500 0.500 0.000 (multiplicity 1)

Results
For the formation energy, the calculation gives 0.138 eV/atom.